Entry 1:
Ac4P6Rh7 PBE relaxed; calculated total energy = -0.2488 Ha/atom; DFT formation energy = -0.87 eV per atom; calculated density = 9219 kg/m3
1.0
-2.772 6.923 0.932
1.254 -1.234 -7.307
-4.937 -5.044 2.581
Ac P Rh
4 6 7
Cartesian
-1.386 3.462 0.466 Ac
-3.228 0.323 -1.897 Ac
0.627 -0.617 -3.653 Ac
-2.469 -2.522 1.291 Ac
-5.061 1.234 2.306 P
-0.997 3.735 -4.185 P
-1.265 -2.157 -1.623 P
-2.648 0.645 1.207 P
-0.522 1.954 -2.190 P
-2.418 -4.121 -3.102 P
-2.687 3.314 -2.309 Rh
-2.221 -1.717 -3.956 Rh
-1.680 1.275 -4.369 Rh
-4.234 2.362 0.163 Rh
-3.769 -2.669 -1.484 Rh
-4.776 -0.630 0.575 Rh
0.000 0.000 0.000 Rh

***

Entry 2:
RbCe2IrO8 PBE relaxed; calculated total energy = -0.2586 Ha/atom; E_form (uncorrected) = -1.9244 eV per atom; calculated density = 6013 kg/m3
1.0
5.214 0.034 0.003
0.067 5.013 0.005
0.019 0.035 7.247
Rb Ce Ir O
1 2 1 8
Cartesian
0.010 0.017 3.624 Rb
2.652 2.546 5.406 Ce
2.648 2.536 1.849 Ce
0.000 0.000 0.000 Ir
0.938 3.969 1.324 O
3.783 3.766 7.250 O
4.333 1.076 1.315 O
4.362 1.113 5.931 O
1.517 1.316 0.005 O
0.967 4.006 5.940 O
3.203 3.614 3.623 O
2.097 1.468 3.632 O

***

Entry 3:
TbH3Ir PBE relaxed; calculated total energy = -0.1905 Ha/atom; calculated density = 10271 kg/m3
1.0
-4.110 -1.890 -2.240
2.745 0.126 -5.143
2.645 -7.213 1.234
Tb H Ir
4 12 4
Cartesian
0.553 -5.503 -4.904 Tb
0.726 -3.474 -1.245 Tb
0.081 -8.022 -1.912 Tb
1.198 -0.955 -4.237 Tb
2.646 -4.787 -3.658 H
-1.366 -4.189 -2.490 H
2.007 -6.851 -0.745 H
-0.727 -2.126 -5.404 H
0.919 -7.376 -6.022 H
-1.105 -2.275 -0.926 H
0.768 -6.100 -2.765 H
1.977 -2.203 -2.584 H
0.361 -1.601 -0.127 H
2.385 -6.702 -5.223 H
0.511 -2.877 -3.383 H
-0.698 -6.774 -3.564 H
-1.015 -3.201 -3.968 Ir
2.295 -5.776 -2.181 Ir
-2.420 -3.176 -1.412 Ir
3.700 -5.801 -4.737 Ir